1.
Mg5Cr: relaxed, GGA-PBE.

a = 5.726 Å, b = 5.726 Å, c = 5.726 Å
α = 60.00°, β = 60.00°, γ = 60.00°
Positions (direct):
Mg 0.250 0.250 0.250
Mg 0.625 0.625 0.625
Mg 0.124 0.625 0.625
Mg 0.625 0.124 0.625
Mg 0.625 0.625 0.124
Cr 0.000 0.000 0.000

## Properties
The space group is F-43m, No. 216. The value obtained for the spin magnetization is 4.3 μB per formula unit. As for the density: 2.17 g/cm³. The calculation puts the electronic total energy at -15.8 eV per formula unit.

2.
BeCuCl2: relaxed, GGA-PBE.

a = 4.456 Å, b = 4.456 Å, c = 4.456 Å
α = 60.00°, β = 60.00°, γ = 60.00°
Positions (direct):
Be 0.000 0.000 0.000
Cu 0.500 0.500 0.500
Cl 0.750 0.750 0.750
Cl 0.250 0.250 0.250

## Properties
The space group is Fm-3m, No. 225. The value obtained for the spin magnetization is 0.0 μB per formula unit. As for the density: 3.81 g/cm³. The calculation puts the electronic total energy at -10.0 eV per formula unit.

3.
BaPmIn: relaxed, GGA-PBE.

a = 3.948 Å, b = 5.626 Å, c = 5.626 Å
α = 120.00°, β = 90.00°, γ = 90.00°
Positions (direct):
Pm 0.247 0.667 0.333
Ba 0.666 0.333 0.667
In 0.087 0.000 0.000

## Properties
The space group is P3m1, No. 156. The value obtained for the spin magnetization is 0.0 μB per formula unit. As for the density: 6.10 g/cm³. The calculation puts the electronic total energy at -9.8 eV per formula unit.